1.
Entry from Alexandria via LeMat-Bulk: a relaxed Na3PrDy2Te6 crystal (PBE).

a b c (Å): 7.7577 7.7577 8.0002
angles (deg): 99.32 99.32 120.01
Element x y z (fractional)
Na: 0.1638 0.8362 0.5000
Na: 0.8362 0.1638 0.5000
Na: 0.5000 0.5000 0.5000
Pr: 0.0000 0.0000 0.0000
Dy: 0.3329 0.6671 0.0000
Dy: 0.6671 0.3329 0.0000
Te: 0.9215 0.5790 0.7652
Te: 0.7356 0.7356 0.2346
Te: 0.0785 0.4210 0.2348
Te: 0.5790 0.9215 0.7652
Te: 0.2644 0.2644 0.7654
Te: 0.4210 0.0785 0.2348

Output
For the formation energy without anion corrections, the calculation gives -1319 meV/atom. The theoretical density comes out at 5.47 g/cm³. The calculation puts the total energy at -4.38 eV/atom. As for the crystal system: monoclinic. The value obtained for the total moment is 0.00 Bohr magnetons per cell.


2.
Entry from Alexandria via LeMat-Bulk: a relaxed Mn2CuHg crystal (PBE).

a b c (Å): 4.8668 4.8668 4.8668
angles (deg): 131.95 131.95 70.30
Each line ends with the local moment (μB).
Element x y z (fractional)
Cu: 0.5000 0.5000 0.0000  0.10
Hg: 0.7500 0.2500 0.5000  -0.04
Mn: 0.0000 0.0000 0.0000  3.60
Mn: 0.2500 0.7500 0.5000  3.59

Output
The formation energy is 355 meV per atom. Its density of states at the Fermi level is 0.86 states/eV/atom. The theoretical density comes out at 9.94 g/cm³. The calculation puts the total energy at -5.33 eV/atom. As for the crystal system: tetragonal. The value obtained for the total moment is 7.50 Bohr magnetons per cell.


3.
Entry from Alexandria via LeMat-Bulk: a relaxed Li2NiCl crystal (PBE).

a b c (Å): 3.2447 3.2456 6.7420
angles (deg): 90.00 90.00 90.00
Each line ends with the local moment (μB).
Element x y z (fractional)
Cl: 0.5000 0.5000 0.8860  0.00
Li: 0.0000 0.0000 0.9617  0.00
Li: 0.5000 0.5000 0.2403  -0.01
Ni: 0.0000 0.0000 0.4120  0.48

Output
For the formation energy without anion corrections, the calculation gives -374 meV/atom. Its density of states at the Fermi level is 1.33 states/eV/atom. The theoretical density comes out at 2.53 g/cm³. The calculation puts the total energy at -3.24 eV/atom. As for the crystal system: tetragonal. The value obtained for the total moment is 0.41 Bohr magnetons per cell. The value obtained for the distance to the lowest polymorph of the same formula is 128 meV per atom.


4.
Entry from Alexandria via LeMat-Bulk: a relaxed Sc2CuOsBr crystal (PBE).

a b c (Å): 5.0095 5.0559 5.0095
angles (deg): 90.00 90.00 90.00
Element x y z (fractional)
Sc: 0.0000 0.0000 0.5000
Sc: 0.5000 0.0000 0.0000
Os: 0.0000 0.0000 0.0000
Cu: 0.5000 0.5000 0.5000
Br: 0.0000 0.5000 0.0000

Output
For the formation energy without anion corrections, the calculation gives 500 meV/atom. Its density of states at the Fermi level is 0.54 states/eV/atom. The theoretical density comes out at 5.54 g/cm³. The calculation puts the total energy at -5.43 eV/atom. As for the crystal system: tetragonal. The value obtained for the total moment is 0.00 Bohr magnetons per cell.


5.
Entry from Alexandria via LeMat-Bulk: a relaxed Tm2AlCd crystal (PBE).

a b c (Å): 3.5388 3.5388 9.6804
angles (deg): 79.47 79.47 60.00
Element x y z (fractional)
Tm: 0.7455 0.7455 0.7636
Tm: 0.2545 0.2545 0.2364
Al: 0.0000 0.0000 0.0000
Cd: 0.5000 0.5000 0.5000

Output
The formation energy is -185 meV per atom. Its density of states at the Fermi level is 0.57 states/eV/atom. The theoretical density comes out at 7.72 g/cm³. The calculation puts the total energy at -3.59 eV/atom. As for the crystal system: trigonal. The value obtained for the total moment is 0.00 Bohr magnetons per cell.


6.
Entry from Alexandria via LeMat-Bulk: a relaxed Tb2Dy6Er crystal (PBE).

a b c (Å): 3.5375 8.6495 12.7328
angles (deg): 132.76 82.01 90.06
Element x y z (fractional)
Tb: 0.4446 0.7780 0.1107
Tb: 0.5554 0.2220 0.8893
Dy: 0.8885 0.5556 0.2226
Dy: 0.1115 0.4444 0.7774
Dy: 0.6662 0.6672 0.6671
Dy: 0.7780 0.1116 0.4445
Dy: 0.2220 0.8884 0.5555
Dy: 0.3338 0.3328 0.3329
Er: 0.0000 0.0000 0.0000

Output
The formation energy is 17 meV per atom. Its density of states at the Fermi level is 1.35 states/eV/atom. The theoretical density comes out at 8.63 g/cm³. The calculation puts the total energy at -4.59 eV/atom. As for the crystal system: triclinic. The value obtained for the total moment is 0.00 Bohr magnetons per cell.